[1]
An optimized crystal structure of KLiSc2, computed with GGA-PBE.

```
data_KLiSc2
_chemical_formula_sum 'K3 Li3 Sc6'
_symmetry_space_group_name_H-M 'R 3 m'
_symmetry_Int_Tables_number 160
_symmetry_space_group_name_Hall 'R 3 -2"'
_cell_length_a 3.4331
_cell_length_b 3.4331
_cell_length_c 35.0759
_cell_angle_alpha 90.00
_cell_angle_beta 90.00
_cell_angle_gamma 120.00
loop_
_atom_site_label
_atom_site_type_symbol
_atom_site_fract_x
_atom_site_fract_y
_atom_site_fract_z
_atom_site_occupancy
K1 K 0.0000 0.0000 0.0000 1
Li1 Li 0.0000 0.0000 0.7595 1
Sc1 Sc 0.0000 0.0000 0.2351 1
Sc2 Sc 0.0000 0.0000 0.4985 1
```

DFT formation energy: 0.31 eV per atom
Magnetization: 0.606 μB per formula unit
Distance to the lowest polymorph of the same formula: 0.11 eV per formula unit
E_tot: -3.61 eV/atom
Density of states at the Fermi level: 1.43 states/eV/atom

[2]
An optimized crystal structure of KLiSc2, computed with GGA-PBE.

```
data_KLiSc2
_chemical_formula_sum 'K2 Li2 Sc4'
_symmetry_space_group_name_H-M 'C m m m'
_symmetry_Int_Tables_number 65
_symmetry_space_group_name_Hall '-C 2 2'
_cell_length_a 6.166
_cell_length_b 12.412
_cell_length_c 3.094
_cell_angle_alpha 90.00
_cell_angle_beta 90.00
_cell_angle_gamma 90.00
loop_
_atom_site_label
_atom_site_type_symbol
_atom_site_fract_x
_atom_site_fract_y
_atom_site_fract_z
_atom_site_occupancy
K1 K 0.000 0.000 0.000 1
Li1 Li 0.000 0.500 0.000 1
Sc1 Sc 0.250 0.250 0.500 1
```

DFT formation energy: 0.59 eV per atom
Magnetization: 0.549 μB per formula unit
Distance to the lowest polymorph of the same formula: 1.25 eV per formula unit
E_tot: -3.33 eV/atom
Density of states at the Fermi level: 1.33 states/eV/atom

[3]
An optimized crystal structure of KLiSc2, computed with GGA-PBE.

```
data_KLiSc2
_chemical_formula_sum 'K2 Li2 Sc4'
_symmetry_space_group_name_H-M 'I m m m'
_symmetry_Int_Tables_number 71
_symmetry_space_group_name_Hall '-I 2 2'
_cell_length_a 3.343
_cell_length_b 5.649
_cell_length_c 12.566
_cell_angle_alpha 90.00
_cell_angle_beta 90.00
_cell_angle_gamma 90.00
loop_
_atom_site_label
_atom_site_type_symbol
_atom_site_fract_x
_atom_site_fract_y
_atom_site_fract_z
_atom_site_occupancy
K1 K 0.000 0.000 0.000 1
Li1 Li 0.000 0.000 0.500 1
Sc1 Sc 0.000 0.500 0.228 1
```

DFT formation energy: 0.48 eV per atom
Magnetization: 1.623 μB per formula unit
Distance to the lowest polymorph of the same formula: 0.81 eV per formula unit
E_tot: -3.44 eV/atom
Density of states at the Fermi level: 1.64 states/eV/atom

[4]
An optimized crystal structure of KLi2Sc, computed with GGA-PBE.

```
data_KLi2Sc
_chemical_formula_sum 'K1 Li2 Sc1'
_symmetry_space_group_name_H-M 'P 1 2/m 1'
_symmetry_Int_Tables_number 10
_symmetry_space_group_name_Hall '-P 2y'
_cell_length_a 6.114
_cell_length_b 3.172
_cell_length_c 6.554
_cell_angle_alpha 90.00
_cell_angle_beta 108.94
_cell_angle_gamma 90.00
loop_
_atom_site_label
_atom_site_type_symbol
_atom_site_fract_x
_atom_site_fract_y
_atom_site_fract_z
_atom_site_occupancy
K1 K 0.000 0.000 0.000 1
Li1 Li 0.000 0.000 0.500 1
Li2 Li 0.500 0.500 0.000 1
Sc1 Sc 0.500 0.500 0.500 1
```

DFT formation energy: 0.45 eV per atom
Magnetization: 1.103 μB per formula unit
Distance to the lowest polymorph of the same formula: 0.63 eV per formula unit
E_tot: -2.37 eV/atom
Density of states at the Fermi level: 0.90 states/eV/atom